Entry 1:
# Hf4AlSb GGA-PBE optimized geometry
# uncorrected formation energy	0.0984	eV/atom
# energy above the most stable polymorph in this dataset	432	meV per atom
# size of the total moment	0.00	μB per atom
data_Hf4AlSb
_chemical_formula_sum 'Hf16 Al4 Sb4'
_cell_length_a 14.7221
_cell_length_b 6.4525
_cell_length_c 6.7450
_cell_angle_alpha 90.00
_cell_angle_beta 117.18
_cell_angle_gamma 90.00
_space_group_name_H-M_alt 'C 1 2/m 1'
_space_group_IT_number 12
_space_group_name_Hall '-C 2y'
loop_
_atom_site_label
_atom_site_fract_x
_atom_site_fract_y
_atom_site_fract_z
Hf1 0.0000 0.2400 0.0000
Hf2 0.0000 0.2396 0.5000
Hf3 0.2500 0.2498 0.2328
Al1 0.1227 0.0000 0.8725
Sb1 0.1277 0.5000 0.3779



Entry 2:
# BiPCCl2 GGA-PBE optimized geometry
# uncorrected formation energy	1.5669	eV/atom
# energy above the most stable polymorph in this dataset	627	meV per atom
# size of the total moment	0.73	μB per atom
data_BiPCCl2
_chemical_formula_sum 'Bi1 P1 C1 Cl2'
_cell_length_a 5.4170
_cell_length_b 5.4170
_cell_length_c 5.7115
_cell_angle_alpha 90.00
_cell_angle_beta 90.00
_cell_angle_gamma 90.00
_space_group_name_H-M_alt 'P 4/m m m'
_space_group_IT_number 123
_space_group_name_Hall '-P 4 2'
loop_
_atom_site_label
_atom_site_fract_x
_atom_site_fract_y
_atom_site_fract_z
Bi1 0.0000 0.0000 0.0000
P1 0.0000 0.0000 0.5000
C1 0.5000 0.5000 0.5000
Cl1 0.0000 0.5000 0.0000



Entry 3:
# LiCu3Pd GGA-PBE optimized geometry
# formation enthalpy at 0 K	223	meV/atom
# energy above the most stable polymorph in this dataset	229	meV per atom
# size of the total moment	0.00	μB per atom
data_LiCu3Pd
_chemical_formula_sum 'Li3 Cu9 Pd3'
_cell_length_a 4.7923
_cell_length_b 4.7923
_cell_length_c 11.6415
_cell_angle_alpha 90.00
_cell_angle_beta 90.00
_cell_angle_gamma 120.00
_space_group_name_H-M_alt 'R 3 m'
_space_group_IT_number 160
_space_group_name_Hall 'R 3 -2"'
loop_
_atom_site_label
_atom_site_fract_x
_atom_site_fract_y
_atom_site_fract_z
Li1 0.0000 0.0000 0.0000
Cu1 0.0000 0.5000 0.5001
Pd1 0.0000 0.0000 0.3769



Entry 4:
# La8CoS3Br4 GGA-PBE optimized geometry
# uncorrected formation energy	-1.5072	eV/atom
# size of the total moment	0.00	μB per atom
data_La8CoS3Br4
_chemical_formula_sum 'La24 Co3 S9 Br12'
_cell_length_a 8.3621
_cell_length_b 8.3621
_cell_length_c 22.0847
_cell_angle_alpha 90.00
_cell_angle_beta 90.00
_cell_angle_gamma 120.00
_space_group_name_H-M_alt 'R -3 m'
_space_group_IT_number 166
_space_group_name_Hall '-R 3 2"'
loop_
_atom_site_label
_atom_site_fract_x
_atom_site_fract_y
_atom_site_fract_z
La1 0.0000 0.0000 0.2370
La2 0.0102 0.5051 0.2359
Co1 0.0000 0.0000 0.5000
S1 0.0000 0.5000 0.5000
Br1 0.0000 0.0000 0.0000
Br2 0.0000 0.5000 0.0000



Entry 5:
# CrRu4 GGA-PBE optimized geometry
# formation enthalpy at 0 K	123	meV/atom
# energy above the most stable polymorph in this dataset	14	meV per atom
# size of the total moment	0.00	μB per atom
data_CrRu4
_chemical_formula_sum 'Cr4 Ru16'
_cell_length_a 4.6768
_cell_length_b 12.7643
_cell_length_c 5.1639
_cell_angle_alpha 90.00
_cell_angle_beta 116.80
_cell_angle_gamma 90.00
_space_group_name_H-M_alt 'C 1 c 1'
_space_group_IT_number 9
_space_group_name_Hall 'C -2yc'
loop_
_atom_site_label
_atom_site_fract_x
_atom_site_fract_y
_atom_site_fract_z
Cr1 0.0000 0.1253 0.0000
Ru1 0.0683 0.0782 0.5789
Ru2 0.0712 0.4735 0.5917
Ru3 0.4785 0.2239 0.9066
Ru4 0.4889 0.1716 0.4203



Entry 6:
# KNiAsSe2 GGA-PBE optimized geometry
# uncorrected formation energy	1.6503	eV/atom
# energy above the most stable polymorph in this dataset	1807	meV per atom
# size of the total moment	0.42	μB per atom
data_KNiAsSe2
_chemical_formula_sum 'K1 Ni1 As1 Se2'
_cell_length_a 5.5849
_cell_length_b 5.5849
_cell_length_c 5.4264
_cell_angle_alpha 90.00
_cell_angle_beta 90.00
_cell_angle_gamma 90.00
_space_group_name_H-M_alt 'P 4/m m m'
_space_group_IT_number 123
_space_group_name_Hall '-P 4 2'
loop_
_atom_site_label
_atom_site_fract_x
_atom_site_fract_y
_atom_site_fract_z
K1 0.0000 0.0000 0.0000
Ni1 0.5000 0.5000 0.5000
As1 0.0000 0.0000 0.5000
Se1 0.0000 0.5000 0.0000



Entry 7:
# SrFeHOs2 GGA-PBE optimized geometry
# raw total energy	-4.42	eV/atom
# size of the total moment	0.00	μB per atom
data_SrFeHOs2
_chemical_formula_sum 'Sr1 Fe1 H1 Os2'
_cell_length_a 5.0563
_cell_length_b 5.0563
_cell_length_c 3.0825
_cell_angle_alpha 90.00
_cell_angle_beta 90.00
_cell_angle_gamma 90.00
_space_group_name_H-M_alt 'P 4/m m m'
_space_group_IT_number 123
_space_group_name_Hall '-P 4 2'
loop_
_atom_site_label
_atom_site_fract_x
_atom_site_fract_y
_atom_site_fract_z
Sr1 0.0000 0.0000 0.0000
Fe1 0.5000 0.5000 0.5000
H1 0.0000 0.0000 0.5000
Os1 0.0000 0.5000 0.0000



Entry 8:
# Al4Ag3 GGA-PBE optimized geometry
# formation enthalpy at 0 K	14	meV/atom
# energy above the most stable polymorph in this dataset	59	meV per atom
# size of the total moment	0.00	μB per atom
data_Al4Ag3
_chemical_formula_sum 'Al8 Ag6'
_cell_length_a 13.3456
_cell_length_b 3.1963
_cell_length_c 6.5226
_cell_angle_alpha 90.00
_cell_angle_beta 116.82
_cell_angle_gamma 90.00
_space_group_name_H-M_alt 'C 1 2/m 1'
_space_group_IT_number 12
_space_group_name_Hall '-C 2y'
loop_
_atom_site_label
_atom_site_fract_x
_atom_site_fract_y
_atom_site_fract_z
Al1 0.0854 0.0000 0.2057
Al2 0.1226 0.5000 0.8738
Ag1 0.0000 0.0000 0.5000
Ag2 0.2347 0.0000 0.6790



Entry 9:
# CuAs2W GGA-PBE optimized geometry
# formation enthalpy at 0 K	456	meV/atom
# energy above the most stable polymorph in this dataset	323	meV per atom
# size of the total moment	0.00	μB per atom
data_CuAs2W
_chemical_formula_sum 'Cu4 As8 W4'
_cell_length_a 6.3008
_cell_length_b 6.3008
_cell_length_c 6.3008
_cell_angle_alpha 90.00
_cell_angle_beta 90.00
_cell_angle_gamma 90.00
_space_group_name_H-M_alt 'F m -3 m'
_space_group_IT_number 225
_space_group_name_Hall '-F 4 2 3'
loop_
_atom_site_label
_atom_site_fract_x
_atom_site_fract_y
_atom_site_fract_z
Cu1 0.0000 0.0000 0.0000
As1 0.2500 0.2500 0.2500
W1 0.0000 0.0000 0.5000



Entry 10:
# UHg6 GGA-PBE optimized geometry
# formation enthalpy at 0 K	726	meV/atom
# size of the total moment	0.58	μB per atom
data_UHg6
_chemical_formula_sum 'U2 Hg12'
_cell_length_a 7.9159
_cell_length_b 7.9159
_cell_length_c 7.9159
_cell_angle_alpha 90.00
_cell_angle_beta 90.00
_cell_angle_gamma 90.00
_space_group_name_H-M_alt 'I m -3 m'
_space_group_IT_number 229
_space_group_name_Hall '-I 4 2 3'
loop_
_atom_site_label
_atom_site_fract_x
_atom_site_fract_y
_atom_site_fract_z
U1 0.0000 0.0000 0.0000
Hg1 0.0000 0.2500 0.5000



Entry 11:
# Mo3Pt GGA-PBE optimized geometry
# formation enthalpy at 0 K	-55	meV/atom
# energy above the most stable polymorph in this dataset	72	meV per atom
# size of the total moment	0.00	μB per atom
data_Mo3Pt
_chemical_formula_sum 'Mo6 Pt2'
_cell_length_a 2.7056
_cell_length_b 9.2047
_cell_length_c 5.0363
_cell_angle_alpha 90.00
_cell_angle_beta 90.00
_cell_angle_gamma 90.00
_space_group_name_H-M_alt 'I m m 2'
_space_group_IT_number 44
_space_group_name_Hall 'I 2 -2'
loop_
_atom_site_label
_atom_site_fract_x
_atom_site_fract_y
_atom_site_fract_z
Mo1 0.0000 0.0000 0.0000
Mo2 0.0000 0.2475 0.3126
Pt1 0.0000 0.5000 0.9924



Entry 12:
# Zr2InCu GGA-PBE optimized geometry
# formation enthalpy at 0 K	207	meV/atom
# size of the total moment	0.81	μB per atom
data_Zr2InCu
_chemical_formula_sum 'Zr8 In4 Cu4'
_cell_length_a 6.9286
_cell_length_b 6.9286
_cell_length_c 6.9286
_cell_angle_alpha 90.00
_cell_angle_beta 90.00
_cell_angle_gamma 90.00
_space_group_name_H-M_alt 'F -4 3 m'
_space_group_IT_number 216
_space_group_name_Hall 'F -4 2 3'
loop_
_atom_site_label
_atom_site_fract_x
_atom_site_fract_y
_atom_site_fract_z
Zr1 0.0000 0.0000 0.0000
Zr2 0.2500 0.2500 0.2500
In1 0.0000 0.0000 0.5000
Cu1 0.2500 0.2500 0.7500



Entry 13:
# TaNbSe3 GGA-PBE optimized geometry
# uncorrected formation energy	0.3996	eV/atom
# energy above the most stable polymorph in this dataset	1152	meV per atom
# size of the total moment	0.66	μB per atom
data_TaNbSe3
_chemical_formula_sum 'Ta1 Nb1 Se3'
_cell_length_a 4.9937
_cell_length_b 4.9937
_cell_length_c 4.9937
_cell_angle_alpha 90.00
_cell_angle_beta 90.00
_cell_angle_gamma 90.00
_space_group_name_H-M_alt 'P m -3 m'
_space_group_IT_number 221
_space_group_name_Hall '-P 4 2 3'
loop_
_atom_site_label
_atom_site_fract_x
_atom_site_fract_y
_atom_site_fract_z
Ta1 0.0000 0.0000 0.0000
Nb1 0.5000 0.5000 0.5000
Se1 0.0000 0.0000 0.5000



Entry 14:
# KDyUS4 GGA-PBE optimized geometry
# uncorrected formation energy	-1.6147	eV/atom
# size of the total moment	0.29	μB per atom
data_KDyUS4
_chemical_formula_sum 'K4 Dy4 U4 S16'
_cell_length_a 8.3673
_cell_length_b 8.4173
_cell_length_c 11.7342
_cell_angle_alpha 90.00
_cell_angle_beta 90.00
_cell_angle_gamma 90.00
_space_group_name_H-M_alt 'I m m a'
_space_group_IT_number 74
_space_group_name_Hall '-I 2b 2'
loop_
_atom_site_label
_atom_site_fract_x
_atom_site_fract_y
_atom_site_fract_z
K1 0.0000 0.2500 0.1276
Dy1 0.2500 0.2500 0.7500
U1 0.0000 0.0000 0.5000
S1 0.0000 0.0371 0.7287
S2 0.2076 0.2500 0.5153



Entry 15:
# OsPbClO4 GGA-PBE optimized geometry
# uncorrected formation energy	-1.0008	eV/atom
# size of the total moment	0.00	μB per atom
data_OsPbClO4
_chemical_formula_sum 'Os4 Pb4 Cl4 O16'
_cell_length_a 11.4266
_cell_length_b 7.6278
_cell_length_c 7.3649
_cell_angle_alpha 90.00
_cell_angle_beta 102.94
_cell_angle_gamma 90.00
_space_group_name_H-M_alt 'C 1 2/m 1'
_space_group_IT_number 12
_space_group_name_Hall '-C 2y'
loop_
_atom_site_label
_atom_site_fract_x
_atom_site_fract_y
_atom_site_fract_z
Os1 0.1379 0.0000 0.2728
Pb1 0.1921 0.5000 0.0860
Cl1 0.0171 0.5000 0.7659
O1 0.0172 0.0000 0.7746
O2 0.1931 0.1702 0.1431
O3 0.2154 0.0000 0.5037



Entry 16:
# HoTh4In4 GGA-PBE optimized geometry
# formation enthalpy at 0 K	33	meV/atom
# size of the total moment	0.00	μB per atom
data_HoTh4In4
_chemical_formula_sum 'Ho2 Th8 In8'
_cell_length_a 9.1342
_cell_length_b 9.1342
_cell_length_c 6.6731
_cell_angle_alpha 90.00
_cell_angle_beta 90.00
_cell_angle_gamma 90.00
_space_group_name_H-M_alt 'P 42/n'
_space_group_IT_number 86
loop_
_space_group_symop_operation_xyz
'x,y,z'
'-x,-y,-z'
'-y,x+1/2,z+1/2'
'y,-x+1/2,-z+1/2'
'-x+1/2,-y+1/2,z'
'x+1/2,y+1/2,-z'
'y+1/2,-x,z+1/2'
'-y+1/2,x,-z+1/2'
loop_
_atom_site_label
_atom_site_fract_x
_atom_site_fract_y
_atom_site_fract_z
Ho1 0.2500 0.2500 0.2500
Th1 0.0131 0.3453 0.6293
In1 0.0440 0.6636 0.8947



Entry 17:
# SiSbW2 GGA-PBE optimized geometry
# uncorrected formation energy	0.6192	eV/atom
# energy above the most stable polymorph in this dataset	452	meV per atom
# size of the total moment	0.00	μB per atom
data_SiSbW2
_chemical_formula_sum 'Si2 Sb2 W4'
_cell_length_a 3.3992
_cell_length_b 4.7835
_cell_length_c 8.4201
_cell_angle_alpha 90.00
_cell_angle_beta 90.00
_cell_angle_gamma 90.00
_space_group_name_H-M_alt 'C m m m'
_space_group_IT_number 65
_space_group_name_Hall '-C 2 2'
loop_
_atom_site_label
_atom_site_fract_x
_atom_site_fract_y
_atom_site_fract_z
Si1 0.0000 0.0000 0.0000
Sb1 0.0000 0.0000 0.5000
W1 0.0000 0.5000 0.2187



Entry 18:
# CdHgP2 GGA-PBE optimized geometry
# formation enthalpy at 0 K	49	meV/atom
# energy above the most stable polymorph in this dataset	0	meV per atom
# size of the total moment	0.00	μB per atom
data_CdHgP2
_chemical_formula_sum 'Cd2 Hg2 P4'
_cell_length_a 12.0720
_cell_length_b 3.2356
_cell_length_c 5.3787
_cell_angle_alpha 90.00
_cell_angle_beta 114.84
_cell_angle_gamma 90.00
_space_group_name_H-M_alt 'C 1 2/m 1'
_space_group_IT_number 12
_space_group_name_Hall '-C 2y'
loop_
_atom_site_label
_atom_site_fract_x
_atom_site_fract_y
_atom_site_fract_z
Cd1 0.0000 0.0000 0.0000
Hg1 0.0000 0.5000 0.5000
P1 0.2434 0.0000 0.1302



Entry 19:
# Sm4ThIn5 GGA-PBE optimized geometry
# formation enthalpy at 0 K	-441	meV/atom
# size of the total moment	0.00	μB per atom
data_Sm4ThIn5
_chemical_formula_sum 'Sm4 Th1 In5'
_cell_length_a 3.5713
_cell_length_b 3.5713
_cell_length_c 22.0249
_cell_angle_alpha 90.00
_cell_angle_beta 90.00
_cell_angle_gamma 90.00
_space_group_name_H-M_alt 'P 4/m m m'
_space_group_IT_number 123
_space_group_name_Hall '-P 4 2'
loop_
_atom_site_label
_atom_site_fract_x
_atom_site_fract_y
_atom_site_fract_z
Sm1 0.0000 0.0000 0.0990
Sm2 0.0000 0.0000 0.2973
Th1 0.0000 0.0000 0.5000
In1 0.5000 0.5000 0.0000
In2 0.5000 0.5000 0.1982
In3 0.5000 0.5000 0.3967



Entry 20:
# Co2Ir3 GGA-PBE optimized geometry
# formation enthalpy at 0 K	65	meV/atom
# energy above the most stable polymorph in this dataset	0	meV per atom
# size of the total moment	0.74	μB per atom
data_Co2Ir3
_chemical_formula_sum 'Co6 Ir9'
_cell_length_a 2.6967
_cell_length_b 2.6967
_cell_length_c 31.8151
_cell_angle_alpha 90.00
_cell_angle_beta 90.00
_cell_angle_gamma 120.00
_space_group_name_H-M_alt 'R -3 m'
_space_group_IT_number 166
_space_group_name_Hall '-R 3 2"'
loop_
_atom_site_label
_atom_site_fract_x
_atom_site_fract_y
_atom_site_fract_z
Co1 0.0000 0.0000 0.1008
Ir1 0.0000 0.0000 0.2977
Ir2 0.0000 0.0000 0.5000